VASP calculation (PBE-GGA) on a relaxed PrAlGeBr crystal.

Computed properties:
N(E_F)	2.297	states/eV/f.u.
SG	R-3m
DFT total energy	-37.06	eV per cell
density	4.7	g cm⁻³

Cell and atoms, written as POSCAR:
```
PrAlGeBr
1.0
4.3050 0.0000 0.0000
2.1525 3.7283 0.0000
2.1525 1.2428 14.0555
Pr Ge Al Br
2 2 2 2
direct
0.9198 0.9198 0.2406 Pr
0.0802 0.0802 0.7594 Pr
0.3708 0.3708 0.8875 Ge
0.6292 0.6292 0.1125 Ge
0.6899 0.6899 0.9302 Al
0.3101 0.3101 0.0698 Al
0.7899 0.7899 0.6304 Br
0.2101 0.2101 0.3696 Br
```